Record 1
The following is a PBE calculation of crystalline Al3Cu4Au2 at its relaxed geometry, from Alexandria via LeMat-Bulk.

Cell lengths 11.2022, 10.0239, 4.7900 Å; angles 90.00, 92.60, 90.00 degrees
Space group C2/c (No. 15)
Inequivalent atoms, fractional coordinates:
Al 0.0000 0.0642 0.2500 x4
Al 0.1055 0.4286 0.5620 x8
Cu 0.0776 0.3028 0.0674 x8
Cu 0.1482 0.1883 0.5818 x8
Au 0.2144 0.0863 0.0800 x8

Properties
E_form: -1.05 eV/f.u.
DOS at the Fermi energy: 2.48 states/eV/f.u.
final energy: -140.88 eV for the cell shown



Record 2
The following is a PBE calculation of crystalline ZnReCl2 at its relaxed geometry, from Alexandria via LeMat-Bulk.

Cell lengths 9.8445, 2.9250, 7.2981 Å; angles 90.00, 111.03, 90.00 degrees
Space group Cm (No. 8)
Inequivalent atoms, fractional coordinates:
Zn 0.0000 0.0000 0.0000 x2
Re 0.2334 0.5000 0.0003 x2
Cl 0.1697 0.0000 0.7178 x2
Cl 0.3196 0.0000 0.2827 x2

Properties
raw formation energy: 0.096 eV/atom
ΔE to the lowest computed polymorph: 116 meV per atom
DOS at the Fermi energy: 2.32 states/eV/f.u.
final energy: -34.06 eV for the cell shown



Record 3
The following is a PBE calculation of crystalline Cs3Sm2InSe6 at its relaxed geometry, from Alexandria via LeMat-Bulk.

Cell lengths 7.4568, 12.9125, 8.7619 Å; angles 90.00, 106.55, 90.00 degrees
Space group C2/m (No. 12)
Inequivalent atoms, fractional coordinates:
Cs 0.0000 0.0000 0.0000 x2
Cs 0.0000 0.3307 0.0000 x4
Sm 0.0000 0.1662 0.5000 x4
In 0.0000 0.5000 0.5000 x2
Se 0.2235 0.3384 0.6856 x8
Se 0.2385 0.0000 0.6877 x4

Properties
raw formation energy: -1.396 eV/atom
final energy: -104.78 eV for the cell shown



Record 4
The following is a PBE calculation of crystalline SmNpSn2 at its relaxed geometry, from Alexandria via LeMat-Bulk.

Cell lengths 3.2926, 3.2926, 35.7887 Å; angles 90.00, 90.00, 120.00 degrees
Space group R-3m (No. 166, hexagonal axes)
Inequivalent atoms, fractional coordinates:
Sm 0.0000 0.0000 0.0000 x3
Np 0.0000 0.0000 0.5000 x3
Sn 0.0000 0.0000 0.0893 x6

Properties
E_form: 0.67 eV/f.u.
ΔE to the lowest computed polymorph: 493 meV per atom
DOS at the Fermi energy: 7.39 states/eV/f.u.
final energy: -75.00 eV for the cell shown



Record 5
The following is a PBE calculation of crystalline Pm2Tl2Rh4C at its relaxed geometry, from Alexandria via LeMat-Bulk.

Cell lengths 6.2501, 6.2501, 8.7889 Å; angles 90.00, 90.00, 90.00 degrees
Space group I4/mmm (No. 139)
Inequivalent atoms, fractional coordinates:
Pm 0.0000 0.0000 0.2078 x4
Tl 0.0000 0.5000 0.2500 x4
Rh 0.2323 0.2323 0.5000 x8
C 0.0000 0.0000 0.5000 x2

Properties
E_form: -1.23 eV/f.u.
DOS at the Fermi energy: 5.96 states/eV/f.u.
final energy: -108.19 eV for the cell shown



Record 6
The following is a PBE calculation of crystalline SrLiSi2 at its relaxed geometry, from Alexandria via LeMat-Bulk.

Cell lengths 7.0556, 7.0556, 7.0556 Å; angles 90.00, 90.00, 90.00 degrees
Space group Fm-3m (No. 225)
Inequivalent atoms, fractional coordinates:
Sr 0.0000 0.0000 0.0000 x4
Li 0.0000 0.0000 0.5000 x4
Si 0.2500 0.2500 0.2500 x8

Properties
raw formation energy: 0.090 eV/atom
ΔE to the lowest computed polymorph: 504 meV per atom
DOS at the Fermi energy: 2.54 states/eV/f.u.
final energy: -56.32 eV for the cell shown



Record 7
The following is a PBE calculation of crystalline DyErFe4 at its relaxed geometry, from Alexandria via LeMat-Bulk.

Cell lengths 7.2361, 7.2361, 7.2361 Å; angles 90.00, 90.00, 90.00 degrees
Space group F-43m (No. 216)
Inequivalent atoms, fractional coordinates:
Dy 0.0000 0.0000 0.0000 x4
Er 0.2500 0.2500 0.7500 x4
Fe 0.1249 0.1249 0.3751 x16

Properties
E_form: -0.61 eV/f.u.
DOS at the Fermi energy: 8.83 states/eV/f.u.
final energy: -174.49 eV for the cell shown



Record 8
The following is a PBE calculation of crystalline MnBeBr3 at its relaxed geometry, from Alexandria via LeMat-Bulk.

Cell lengths 5.1987, 5.1987, 5.1987 Å; angles 90.00, 90.00, 90.00 degrees
Space group Pm-3m (No. 221)
Inequivalent atoms, fractional coordinates:
Mn 0.0000 0.0000 0.0000 x1
Be 0.5000 0.5000 0.5000 x1
Br 0.0000 0.0000 0.5000 x3

Properties
raw formation energy: 0.168 eV/atom
ΔE to the lowest computed polymorph: 207 meV per atom
DOS at the Fermi energy: 1.30 states/eV/f.u.
final energy: -17.07 eV for the cell shown